Density functional theory data (PBE-GGA) for Ac5PmTm after structural relaxation.

Cell and atoms, written as CIF:
```
data_Ac5PmTm
_chemical_formula_sum 'Ac20 Pm4 Tm4'
_cell_length_a 6.949
_cell_length_b 24.448
_cell_length_c 7.176
_cell_angle_alpha 90.00
_cell_angle_beta 102.56
_cell_angle_gamma 90.00
_space_group_name_H-M_alt 'C 1 2/c 1'
_space_group_IT_number 15
_space_group_name_Hall '-C 2yc'
loop_
_atom_site_label
_atom_site_fract_x
_atom_site_fract_y
_atom_site_fract_z
_atom_site_occupancy
Ac1 0.000 0.136 0.250 1
Ac2 0.029 0.297 0.502 1
Ac3 0.236 0.047 0.660 1
Pm1 0.000 0.170 0.750 1
Tm1 0.000 0.421 0.750 1
```

Values from the calculation:
Energy relative to the elements = 235 meV/atom
Total moment = 0.000 Bohr magnetons per cell
Fermi-level density of states = 1.488 states/eV/atom



Density functional theory data (PBE-GGA) for Sm6ErSn4 after structural relaxation.

Cell and atoms, written as CIF:
```
data_Sm6ErSn4
_chemical_formula_sum 'Sm12 Er2 Sn8'
_cell_length_a 7.934
_cell_length_b 7.934
_cell_length_c 12.003
_cell_angle_alpha 90.00
_cell_angle_beta 90.00
_cell_angle_gamma 90.00
_space_group_name_H-M_alt 'I -4 2 m'
_space_group_IT_number 121
_space_group_name_Hall 'I -4 2'
loop_
_atom_site_label
_atom_site_fract_x
_atom_site_fract_y
_atom_site_fract_z
_atom_site_occupancy
Sm1 0.000 0.500 0.000 1
Sm2 0.161 0.161 0.165 1
Er1 0.000 0.000 0.500 1
Sn1 0.229 0.229 0.901 1
```

Values from the calculation:
Energy relative to the elements = -341 meV/atom
Total moment = 0.000 Bohr magnetons per cell
Fermi-level density of states = 1.069 states/eV/atom



Density functional theory data (PBE-GGA) for Rh2NF after structural relaxation.

Cell and atoms, written as CIF:
```
data_Rh2NF
_chemical_formula_sum 'Rh8 N4 F4'
_cell_length_a 5.089
_cell_length_b 5.089
_cell_length_c 8.776
_cell_angle_alpha 90.00
_cell_angle_beta 90.00
_cell_angle_gamma 90.00
_space_group_name_H-M_alt 'I -4 2 d'
_space_group_IT_number 122
_space_group_name_Hall 'I -4 2bw'
loop_
_atom_site_label
_atom_site_fract_x
_atom_site_fract_y
_atom_site_fract_z
_atom_site_occupancy
Rh1 0.174 0.250 0.125 1
N1 0.000 0.000 0.000 1
F1 0.000 0.000 0.500 1
```

Values from the calculation:
Formation energy from raw total energies = -0.0655 eV per atom
Total moment = 0.000 Bohr magnetons per cell
Fermi-level density of states = 0.113 states/eV/atom



Density functional theory data (PBE-GGA) for AlTcBr2 after structural relaxation.

Cell and atoms, written as CIF:
```
data_AlTcBr2
_chemical_formula_sum 'Al1 Tc1 Br2'
_cell_length_a 3.828
_cell_length_b 3.218
_cell_length_c 7.969
_cell_angle_alpha 90.00
_cell_angle_beta 98.09
_cell_angle_gamma 90.00
_space_group_name_H-M_alt 'P 1 m 1'
_space_group_IT_number 6
_space_group_name_Hall 'P -2y'
loop_
_atom_site_label
_atom_site_fract_x
_atom_site_fract_y
_atom_site_fract_z
_atom_site_occupancy
Al1 0.000 0.000 0.000 1
Tc1 0.531 0.500 0.093 1
Br1 0.269 0.500 0.773 1
Br2 0.615 0.000 0.338 1
```

Values from the calculation:
Formation energy from raw total energies = -0.2017 eV per atom
Total moment = 0.000 Bohr magnetons per cell
Fermi-level density of states = 0.261 states/eV/atom



Density functional theory data (PBE-GGA) for BaZr2Pb after structural relaxation.

Cell and atoms, written as CIF:
```
data_BaZr2Pb
_chemical_formula_sum 'Ba1 Zr2 Pb1'
_cell_length_a 3.407
_cell_length_b 5.468
_cell_length_c 6.501
_cell_angle_alpha 90.00
_cell_angle_beta 97.85
_cell_angle_gamma 90.00
_space_group_name_H-M_alt 'P 1 2/m 1'
_space_group_IT_number 10
_space_group_name_Hall '-P 2y'
loop_
_atom_site_label
_atom_site_fract_x
_atom_site_fract_y
_atom_site_fract_z
_atom_site_occupancy
Ba1 0.000 0.000 0.000 1
Zr1 0.318 0.500 0.695 1
Pb1 0.500 0.000 0.500 1
```

Values from the calculation:
Energy relative to the elements = 267 meV/atom
Total moment = 0.000 Bohr magnetons per cell
Fermi-level density of states = 0.984 states/eV/atom



Density functional theory data (PBE-GGA) for ErMnNi4 after structural relaxation.

Cell and atoms, written as CIF:
```
data_ErMnNi4
_chemical_formula_sum 'Er4 Mn4 Ni16'
_cell_length_a 6.902
_cell_length_b 6.902
_cell_length_c 6.902
_cell_angle_alpha 90.00
_cell_angle_beta 90.00
_cell_angle_gamma 90.00
_space_group_name_H-M_alt 'F -4 3 m'
_space_group_IT_number 216
_space_group_name_Hall 'F -4 2 3'
loop_
_atom_site_label
_atom_site_fract_x
_atom_site_fract_y
_atom_site_fract_z
_atom_site_occupancy
Er1 0.000 0.000 0.000 1
Mn1 0.250 0.250 0.250 1
Ni1 0.124 0.124 0.624 1
```

Values from the calculation:
Energy relative to the elements = -296 meV/atom
Total moment = 21.947 Bohr magnetons per cell
Fermi-level density of states = 1.047 states/eV/atom



Density functional theory data (PBE-GGA) for Tc2Pb after structural relaxation.

Cell and atoms, written as CIF:
```
data_Tc2Pb
_chemical_formula_sum 'Tc4 Pb2'
_cell_length_a 3.012
_cell_length_b 3.012
_cell_length_c 11.951
_cell_angle_alpha 90.00
_cell_angle_beta 90.00
_cell_angle_gamma 90.00
_space_group_name_H-M_alt 'I 4/m m m'
_space_group_IT_number 139
_space_group_name_Hall '-I 4 2'
loop_
_atom_site_label
_atom_site_fract_x
_atom_site_fract_y
_atom_site_fract_z
_atom_site_occupancy
Tc1 0.000 0.000 0.188 1
Pb1 0.000 0.000 0.500 1
```

Values from the calculation:
Energy relative to the elements = 406 meV/atom
Total moment = 0.000 Bohr magnetons per cell
Fermi-level density of states = 0.857 states/eV/atom



Density functional theory data (PBE-GGA) for Li2Cd8In after structural relaxation.

Cell and atoms, written as CIF:
```
data_Li2Cd8In
_chemical_formula_sum 'Li2 Cd8 In1'
_cell_length_a 4.689
_cell_length_b 6.247
_cell_length_c 8.492
_cell_angle_alpha 79.67
_cell_angle_beta 81.93
_cell_angle_gamma 88.54
_space_group_name_H-M_alt 'P -1'
_space_group_IT_number 2
_space_group_name_Hall '-P 1'
loop_
_atom_site_label
_atom_site_fract_x
_atom_site_fract_y
_atom_site_fract_z
_atom_site_occupancy
Li1 0.234 0.142 0.047 1
Cd1 0.077 0.216 0.397 1
Cd2 0.159 0.686 0.208 1
Cd3 0.299 0.594 0.873 1
Cd4 0.373 0.050 0.708 1
In1 0.500 0.500 0.500 1
```

Values from the calculation:
Energy relative to the elements = -82 meV/atom
Total moment = 0.000 Bohr magnetons per cell
Fermi-level density of states = 0.275 states/eV/atom